Below is a relaxed SrCrSe4 crystal, with properties calculated at the PBE-GGA level.

a b c (Å): 5.9102 5.9102 5.9102
angles (deg): 60.00 60.00 60.00
Sites, in units of the cell vectors:
Sr 0.0000 0.0000 0.0000
Cr 0.7500 0.7500 0.7500
Se 0.3758 0.3758 0.3758
Se 0.3758 0.3758 0.8725
Se 0.3758 0.8725 0.3758
Se 0.8725 0.3758 0.3758

Output
Volume   24.33 Å³ per atom
D(E_F)   0.681 states/eV/atom
Magnetization   5.1 μB/cell
Uncorrected formation energy   6.5 kJ per mole of atoms